No. 1
{"formula": "YSc2SiSb", "functional": "GGA-PBEsol", "state": "relaxed", "crystal_system": "tetragonal", "formation_energy_uncorrected_ev_per_fu": 0.01, "sg": "P4/mmm (123)", "e_tot_ev_per_fu": -30.33, "cell": [[4.938, 0.000, 0.000], [0.000, 4.938, 0.000], [0.000, 0.000, 5.367]], "species": ["Y", "Sc", "Sc", "Si", "Sb"], "fractional_positions": [[0.000, 0.000, 0.000], [0.000, 0.500, 0.500], [0.500, 0.000, 0.500], [0.500, 0.500, 0.500], [0.500, 0.500, 0.000]]}


No. 2
{"formula": "ScSnSb2Te", "functional": "GGA-PBEsol", "state": "relaxed", "crystal_system": "tetragonal", "formation_energy_uncorrected_ev_per_fu": 0.50, "sg": "P4/mmm (123)", "e_tot_ev_per_fu": -23.01, "de_polymorph_mev_per_atom": 0, "cell": [[5.406, 0.000, 0.000], [0.000, 5.406, 0.000], [0.000, 0.000, 5.402]], "species": ["Sc", "Sn", "Sb", "Sb", "Te"], "fractional_positions": [[0.000, 0.000, 0.000], [0.500, 0.500, 0.500], [0.000, 0.500, 0.000], [0.500, 0.000, 0.000], [0.000, 0.000, 0.500]]}


No. 3
{"formula": "ScSnSb2Te", "functional": "GGA-PBEsol", "state": "relaxed", "crystal_system": "tetragonal", "formation_energy_uncorrected_ev_per_fu": 2.85, "sg": "P4/mmm (123)", "e_tot_ev_per_fu": -20.65, "de_polymorph_mev_per_atom": 471, "cell": [[5.451, 0.000, 0.000], [0.000, 5.451, 0.000], [0.000, 0.000, 5.586]], "species": ["Sc", "Sn", "Sb", "Sb", "Te"], "fractional_positions": [[0.000, 0.000, 0.000], [0.500, 0.500, 0.500], [0.000, 0.500, 0.500], [0.500, 0.000, 0.500], [0.500, 0.500, 0.000]]}


No. 4
{"formula": "SrSc2Sb", "functional": "GGA-PBEsol", "state": "relaxed", "crystal_system": "orthorhombic", "formation_energy_uncorrected_ev_per_fu": -0.09, "sg": "Cmmm (65)", "e_tot_ev_per_fu": -19.69, "cell": [[6.632, 0.000, 0.000], [0.000, 9.452, 0.000], [0.000, 0.000, 3.385]], "species": ["Sr", "Sr", "Sc", "Sc", "Sc", "Sc", "Sb", "Sb"], "fractional_positions": [[0.000, 0.000, 0.000], [0.500, 0.500, 0.000], [0.250, 0.250, 0.500], [0.250, 0.750, 0.500], [0.750, 0.250, 0.500], [0.750, 0.750, 0.500], [0.000, 0.500, 0.000], [0.500, 0.000, 0.000]]}


No. 5
{"formula": "SrScSb", "functional": "GGA-PBEsol", "state": "relaxed", "crystal_system": "cubic", "formation_energy_uncorrected_ev_per_fu": 0.80, "sg": "F-43m (216)", "e_tot_ev_per_fu": -12.20, "cell": [[7.394, 0.000, 0.000], [0.000, 7.394, 0.000], [0.000, 0.000, 7.394]], "species": ["Sr", "Sr", "Sr", "Sr", "Sc", "Sc", "Sc", "Sc", "Sb", "Sb", "Sb", "Sb"], "fractional_positions": [[0.000, 0.000, 0.000], [0.000, 0.500, 0.500], [0.500, 0.000, 0.500], [0.500, 0.500, 0.000], [0.250, 0.250, 0.250], [0.250, 0.750, 0.750], [0.750, 0.250, 0.750], [0.750, 0.750, 0.250], [0.250, 0.250, 0.750], [0.250, 0.750, 0.250], [0.750, 0.250, 0.250], [0.750, 0.750, 0.750]]}


No. 6
{"formula": "SrSc2Sb", "functional": "GGA-PBEsol", "state": "relaxed", "crystal_system": "monoclinic", "formation_energy_uncorrected_ev_per_fu": -0.93, "sg": "P2/m (10)", "e_tot_ev_per_fu": -20.54, "cell": [[3.532, 0.000, 0.000], [0.000, 5.016, 0.000], [-1.288, 0.000, 6.172]], "species": ["Sr", "Sc", "Sc", "Sb"], "fractional_positions": [[0.000, 0.000, 0.000], [0.332, 0.500, 0.709], [0.668, 0.500, 0.291], [0.500, 0.000, 0.500]]}